The following is a DFT calculation (meta-GGA SCAN) of Sc2TlTc at its PBEsol-relaxed geometry.

Cell: 3.0507 3.0507 9.3414 Å, 90.00 90.00 111.64°
With the nearest neighbours (Å) after each atom.
Sites, in units of the cell vectors:
Tc1 0.0000 0.0000 0.5088  2 Sc 2.58, 2 Tl 2.80
Tl1 0.5000 0.5000 0.2723  2 Tc 2.80, 2 Sc 3.04, 4 Tl 3.05
Sc1 0.0000 0.0000 0.0030  2 Tl 3.04, 6 Sc 3.05-3.18
Sc2 0.5000 0.5000 0.7159  2 Tc 2.58

Output
The calculation puts the formation energy at 0.212 eV/atom. The size of the total moment is 0.00 μB per atom. The space-group type is No. 35.